RbLaCr2O8 | PBE+U | optimized geometry

Lattice parameters (Å, degrees): 5.915 5.915 8.224 90.00 90.00 120.00
Element x y z (fractional)
Rb 0.000 0.000 0.000
La 0.000 0.000 0.500
Cr 0.333 0.667 0.755
Cr 0.667 0.333 0.245
O 0.173 0.357 0.687
O 0.184 0.827 0.687
O 0.333 0.667 0.952
O 0.357 0.184 0.313
O 0.643 0.816 0.687
O 0.667 0.333 0.048
O 0.816 0.173 0.313
O 0.827 0.643 0.313

Calculated values
E_tot ... -6.947 eV/atom
Total magnetization ... 0.00 μB per cell